## i
This record from the Alexandria database describes crystalline Ca2TiRePb at its relaxed geometry. The functional is PBE.

- Mass density: 5.988 g/cm³

a b c (Å): 5.2706 5.2052 5.2706
angles (deg): 90.00 90.00 90.00
Site moments in Bohr magnetons follow the coordinates.
Fractional positions:
Ca1 0.5000 0.0000 0.0000  0.00
Ca2 0.0000 0.0000 0.5000  0.00
Ti1 0.0000 0.0000 0.0000  0.04
Pb1 0.0000 0.5000 0.0000  -0.01
Re1 0.5000 0.5000 0.5000  -0.08


## ii
This record from the Alexandria database describes crystalline Ca2TiRePb at its relaxed geometry. The functional is PBE.

- Mass density: 5.826 g/cm³

a b c (Å): 5.8052 4.4103 5.8052
angles (deg): 90.00 90.00 90.00
Fractional positions:
Ti1 0.0000 0.0000 0.0000
Pb1 0.5000 0.5000 0.5000
Ca1 0.0000 0.0000 0.5000
Ca2 0.5000 0.0000 0.0000
Re1 0.0000 0.5000 0.0000


Energies relative to the minimum, meV per atom: i 948; ii 0


## i
This record from the Alexandria database describes crystalline CaRh2Pb2 at its relaxed geometry. The functional is PBE.

- Mass density: 10.233 g/cm³

a b c (Å): 8.1661 8.1661 3.2136
angles (deg): 90.00 90.00 90.00
Fractional positions:
Ca1 0.0000 0.0000 0.0000
Ca2 0.5000 0.5000 0.0000
Rh1 0.8453 0.3453 0.5000
Rh2 0.1547 0.6547 0.5000
Rh3 0.3453 0.1547 0.5000
Rh4 0.6547 0.8453 0.5000
Pb1 0.3582 0.8582 0.0000
Pb2 0.1418 0.3582 0.0000
Pb3 0.6418 0.1418 0.0000
Pb4 0.8582 0.6418 0.0000


## ii
This record from the Alexandria database describes crystalline CaRh2Pb2 at its relaxed geometry. The functional is PBE.

- Mass density: 8.869 g/cm³

a b c (Å): 5.9109 6.4626 7.8685
angles (deg): 80.05 67.88 62.62
Fractional positions:
Ca1 0.8749 0.7505 0.2498
Ca2 0.1251 0.2495 0.7502
Pb1 0.1824 0.1362 0.2499
Pb2 0.8175 0.8638 0.7501
Pb3 0.4324 0.6359 0.7499
Pb4 0.5676 0.3641 0.2501
Rh1 0.4770 0.7501 0.0440
Rh2 0.5230 0.2499 0.9560
Rh3 0.7276 0.2496 0.5439
Rh4 0.2724 0.7504 0.4561


## iii
This record from the Alexandria database describes crystalline CaRh2Pb2 at its relaxed geometry. The functional is PBE.

- Mass density: 9.185 g/cm³

a b c (Å): 4.7064 4.7064 6.3339
angles (deg): 68.19 68.19 90.00
Fractional positions:
Rh1 0.3836 0.3836 0.2327
Rh2 0.6164 0.6164 0.7673
Pb1 0.2500 0.7500 0.5000
Pb2 0.7500 0.2500 0.5000
Ca1 0.0000 0.0000 0.0000


Energies relative to the minimum, meV per atom: i 104; ii 0; iii 66


## i
This record from the Alexandria database describes crystalline CaRh2Pb2 at its relaxed geometry. The functional is PBE.

- Mass density: 9.224 g/cm³

a b c (Å): 4.4502 4.4502 6.7769
angles (deg): 70.83 70.83 90.00
Fractional positions:
Rh1 0.2500 0.7500 0.5000
Rh2 0.7500 0.2500 0.5000
Pb1 0.3737 0.3737 0.2527
Pb2 0.6263 0.6263 0.7473
Ca1 0.0000 0.0000 0.0000


## ii
This record from the Alexandria database describes crystalline CaRh2Pb2 at its relaxed geometry. The functional is PBE.

- Mass density: 10.237 g/cm³

a b c (Å): 7.7056 7.7056 3.6079
angles (deg): 90.00 90.00 90.00
Fractional positions:
Rh1 0.6352 0.1352 0.0000
Rh2 0.1352 0.3648 0.0000
Rh3 0.8648 0.6352 0.0000
Rh4 0.3648 0.8648 0.0000
Pb1 0.6580 0.8420 0.5000
Pb2 0.8420 0.3420 0.5000
Pb3 0.1580 0.6580 0.5000
Pb4 0.3420 0.1580 0.5000
Ca1 0.0000 0.0000 0.0000
Ca2 0.5000 0.5000 0.0000


Energies relative to the minimum, meV per atom: i 0; ii 31


## i
This record from the Alexandria database describes crystalline SrCa2RhPb at its relaxed geometry. The functional is PBE.

- Mass density: 4.876 g/cm³

a b c (Å): 5.4958 5.4958 5.3880
angles (deg): 90.00 90.00 90.00
Fractional positions:
Pb1 0.0000 0.0000 0.5000
Sr1 0.5000 0.5000 0.5000
Ca1 0.5000 0.0000 0.0000
Ca2 0.0000 0.5000 0.0000
Rh1 0.0000 0.0000 0.0000


## ii
This record from the Alexandria database describes crystalline SrCa2RhPb at its relaxed geometry. The functional is PBE.

- Mass density: 4.678 g/cm³

a b c (Å): 5.4267 5.4267 5.7599
angles (deg): 90.00 90.00 90.00
Fractional positions:
Pb1 0.5000 0.5000 0.5000
Rh1 0.0000 0.0000 0.0000
Ca1 0.5000 0.0000 0.0000
Ca2 0.0000 0.5000 0.0000
Sr1 0.0000 0.0000 0.5000


Energies relative to the minimum, meV per atom: i 0; ii 47


## i
This record from the Alexandria database describes crystalline Sr2CaRhPb at its relaxed geometry. The functional is PBE.

- Mass density: 4.865 g/cm³

a b c (Å): 5.7566 5.7566 5.4117
angles (deg): 90.00 90.00 90.00
Fractional positions:
Rh1 0.0000 0.0000 0.0000
Sr1 0.5000 0.0000 0.0000
Sr2 0.0000 0.5000 0.0000
Ca1 0.0000 0.0000 0.5000
Pb1 0.5000 0.5000 0.5000


## ii
This record from the Alexandria database describes crystalline Sr2CaRhPb at its relaxed geometry. The functional is PBE.

- Mass density: 4.491 g/cm³

a b c (Å): 6.4305 4.6981 6.4305
angles (deg): 90.00 90.00 90.00
Fractional positions:
Sr1 0.0000 0.0000 0.5000
Sr2 0.5000 0.0000 0.0000
Pb1 0.5000 0.5000 0.5000
Rh1 0.0000 0.5000 0.0000
Ca1 0.0000 0.0000 0.0000


Energies relative to the minimum, meV per atom: i 0; ii 712


## i
This record from the Alexandria database describes crystalline CaRuPb3 at its relaxed geometry. The functional is PBE.

- Mass density: 6.794 g/cm³

a b c (Å): 5.7127 5.7127 5.7127
angles (deg): 90.00 90.00 90.00
Site moments in Bohr magnetons follow the coordinates.
Fractional positions:
Pb1 0.5000 0.0000 0.0000  -0.06
Pb2 0.0000 0.5000 0.0000  -0.04
Pb3 0.0000 0.0000 0.5000  -0.04
Ca1 0.0000 0.0000 0.0000  -0.04
Ru1 0.5000 0.5000 0.5000  2.43


## ii
This record from the Alexandria database describes crystalline CaRuPb3 at its relaxed geometry. The functional is PBE.

- Mass density: 8.387 g/cm³

a b c (Å): 5.3252 5.3252 5.3252
angles (deg): 90.00 90.00 90.00
Fractional positions:
Pb1 0.0000 0.0000 0.5000
Pb2 0.5000 0.0000 0.0000
Pb3 0.0000 0.5000 0.0000
Ru1 0.0000 0.0000 0.0000
Ca1 0.5000 0.5000 0.5000


Energies relative to the minimum, meV per atom: i 1301; ii 0


## i
This record from the Alexandria database describes crystalline Ca3PbS at its relaxed geometry. The functional is PBE.

- Mass density: 2.967 g/cm³

a b c (Å): 5.8598 5.8598 5.8598
angles (deg): 90.00 90.00 90.00
Fractional positions:
Pb1 0.0000 0.0000 0.0000
Ca1 0.5000 0.0000 0.0000
Ca2 0.0000 0.5000 0.0000
Ca3 0.0000 0.0000 0.5000
S1 0.5000 0.5000 0.5000


## ii
This record from the Alexandria database describes crystalline Ca3PbS at its relaxed geometry. The functional is PBE.

- Mass density: 3.919 g/cm³

a b c (Å): 5.3404 5.3404 5.3404
angles (deg): 90.00 90.00 90.00
Fractional positions:
Pb1 0.5000 0.5000 0.5000
Ca1 0.0000 0.5000 0.0000
Ca2 0.0000 0.0000 0.5000
Ca3 0.5000 0.0000 0.0000
S1 0.0000 0.0000 0.0000


Energies relative to the minimum, meV per atom: i 803; ii 0


## i
This record from the Alexandria database describes crystalline CaPb3S at its relaxed geometry. The functional is PBE.

- Mass density: 5.619 g/cm³

a b c (Å): 5.8964 5.8964 5.8964
angles (deg): 90.00 90.00 90.00
Fractional positions:
S1 0.5000 0.5000 0.5000
Pb1 0.0000 0.5000 0.0000
Pb2 0.0000 0.0000 0.5000
Pb3 0.5000 0.0000 0.0000
Ca1 0.0000 0.0000 0.0000


## ii
This record from the Alexandria database describes crystalline CaPb3S at its relaxed geometry. The functional is PBE.

- Mass density: 6.717 g/cm³

a b c (Å): 5.5559 5.5559 5.5559
angles (deg): 90.00 90.00 90.00
Fractional positions:
Pb1 0.0000 0.0000 0.5000
Pb2 0.5000 0.0000 0.0000
Pb3 0.0000 0.5000 0.0000
S1 0.0000 0.0000 0.0000
Ca1 0.5000 0.5000 0.5000


Energies relative to the minimum, meV per atom: i 889; ii 0


## i
This record from the Alexandria database describes crystalline CaSbPb at its relaxed geometry. The functional is PBE.

- Mass density: 6.739 g/cm³

a b c (Å): 6.5655 5.9981 5.5068
angles (deg): 57.00 90.00 90.00
Fractional positions:
Sb1 0.2500 0.6831 0.6338
Sb2 0.7500 0.3169 0.3662
Pb1 0.5000 0.0000 0.0000
Pb2 0.0000 0.0000 0.0000
Ca1 0.7500 0.6633 0.6734
Ca2 0.2500 0.3367 0.3266


## ii
This record from the Alexandria database describes crystalline CaSbPb at its relaxed geometry. The functional is PBE.

- Mass density: 6.509 g/cm³

a b c (Å): 5.2739 5.2739 3.9085
angles (deg): 90.00 90.00 120.00
Fractional positions:
Ca1 0.0000 0.0000 0.9922
Sb1 0.3333 0.6667 0.5825
Pb1 0.6667 0.3333 0.4253


## iii
This record from the Alexandria database describes crystalline CaSbPb at its relaxed geometry. The functional is PBE.

- Mass density: 6.540 g/cm³

a b c (Å): 3.7494 3.7494 7.6969
angles (deg): 90.00 90.00 120.00
Fractional positions:
Sb1 0.3333 0.6667 0.6691
Ca1 0.0000 0.0000 0.9856
Pb1 0.6667 0.3333 0.3453


Energies relative to the minimum, meV per atom: i 0; ii 162; iii 364


## i
This record from the Alexandria database describes crystalline CaSbPb at its relaxed geometry. The functional is PBE.

- Mass density: 6.826 g/cm³

a b c (Å): 6.0889 6.0888 4.0939
angles (deg): 70.36 70.35 39.29
Fractional positions:
Sb1 0.3277 0.3277 0.6723
Pb1 0.6796 0.6796 0.3204
Ca1 0.9927 0.9927 0.0073


## ii
This record from the Alexandria database describes crystalline CaSbPb at its relaxed geometry. The functional is PBE.

- Mass density: 5.691 g/cm³

a b c (Å): 5.3401 5.3401 5.3401
angles (deg): 60.00 60.00 60.00
Fractional positions:
Pb1 0.5000 0.5000 0.5000
Ca1 0.0000 0.0000 0.0000
Sb1 0.2500 0.2500 0.2500


Energies relative to the minimum, meV per atom: i 0; ii 10


## i
This record from the Alexandria database describes crystalline Ca2Sb2Pb at its relaxed geometry. The functional is PBE.

- Mass density: 5.754 g/cm³

a b c (Å): 9.1045 9.1045 3.6967
angles (deg): 90.00 90.00 90.00
Fractional positions:
Ca1 0.1392 0.6392 0.5000
Ca2 0.8608 0.3608 0.5000
Ca3 0.3608 0.1392 0.5000
Ca4 0.6392 0.8608 0.5000
Sb1 0.1607 0.3393 0.0000
Sb2 0.6607 0.1607 0.0000
Sb3 0.8393 0.6607 0.0000
Sb4 0.3393 0.8393 0.0000
Pb1 0.0000 0.0000 0.0000
Pb2 0.5000 0.5000 0.0000


## ii
This record from the Alexandria database describes crystalline Ca2Sb2Pb at its relaxed geometry. The functional is PBE.

- Mass density: 5.082 g/cm³

a b c (Å): 5.4862 5.4862 6.9471
angles (deg): 66.74 66.74 90.00
Fractional positions:
Pb1 0.0000 0.0000 0.0000
Ca1 0.7500 0.2500 0.5000
Ca2 0.2500 0.7500 0.5000
Sb1 0.3783 0.3783 0.2433
Sb2 0.6217 0.6217 0.7567


Energies relative to the minimum, meV per atom: i 0; ii 308


## i
This record from the Alexandria database describes crystalline CaSc2Pb2 at its relaxed geometry. The functional is PBE.

- Mass density: 6.747 g/cm³

a b c (Å): 8.8009 8.8009 3.4595
angles (deg): 90.00 90.00 90.00
Site moments in Bohr magnetons follow the coordinates.
Fractional positions:
Sc1 0.8779 0.6221 0.0000  0.23
Sc2 0.3779 0.8779 0.0000  0.21
Sc3 0.6221 0.1221 0.0000  0.21
Sc4 0.1221 0.3779 0.0000  0.23
Ca1 0.0000 0.0000 0.0000  0.00
Ca2 0.5000 0.5000 0.0000  0.00
Pb1 0.1750 0.6750 0.5000  -0.01
Pb2 0.8250 0.3250 0.5000  -0.01
Pb3 0.3250 0.1750 0.5000  -0.01
Pb4 0.6750 0.8250 0.5000  -0.01


## ii
This record from the Alexandria database describes crystalline CaSc2Pb2 at its relaxed geometry. The functional is PBE.

- Mass density: 6.124 g/cm³

a b c (Å): 4.7082 4.7082 7.4453
angles (deg): 71.57 71.57 90.00
Site moments in Bohr magnetons follow the coordinates.
Fractional positions:
Pb1 0.3861 0.3861 0.2277  0.00
Pb2 0.6139 0.6139 0.7723  0.00
Sc1 0.2500 0.7500 0.5000  0.10
Sc2 0.7500 0.2500 0.5000  0.10
Ca1 0.0000 0.0000 0.0000  0.00


## iii
This record from the Alexandria database describes crystalline CaSc2Pb2 at its relaxed geometry. The functional is PBE.

- Mass density: 6.657 g/cm³

a b c (Å): 8.7330 8.7330 3.5613
angles (deg): 90.00 90.00 90.00
Site moments in Bohr magnetons follow the coordinates.
Fractional positions:
Pb1 0.3361 0.8361 0.0000  -0.01
Pb2 0.8361 0.6639 0.0000  -0.01
Pb3 0.6639 0.1639 0.0000  -0.01
Pb4 0.1639 0.3361 0.0000  -0.01
Ca1 0.5000 0.5000 0.0000  0.01
Ca2 0.0000 0.0000 0.0000  0.01
Sc1 0.6333 0.8667 0.5000  0.17
Sc2 0.3667 0.1333 0.5000  0.17
Sc3 0.8667 0.3667 0.5000  0.16
Sc4 0.1333 0.6333 0.5000  0.16


Energies relative to the minimum, meV per atom: i 56; ii 79; iii 0